This record from the Alexandria database describes a geometry-optimized Li2VRe2 structure. The functional is PBE-GGA.

a b c (Å): 3.009 3.009 7.968
angles (deg): 79.12 79.12 90.00
Sites, in units of the cell vectors:
Re: 0.595 0.595 0.809
Li: 0.250 0.750 0.500
Li: 0.750 0.250 0.500
V: 0.000 0.000 0.000
Re: 0.405 0.405 0.191

Electronic total energy = -34.8 eV per cell
Symmetry = I4/mmm, No. 139
Offset from the most stable computed form = 0 meV/atom
Formation enthalpy at 0 K = 612 meV/atom